# 1
Crystalline SrMgGa2 at its relaxed geometry, computed with PBE.

Cell lengths 15.211, 4.420, 12.046 Å; angles 90.00, 90.00, 90.00 degrees
Space group Pnma (No. 62)
Asymmetric unit:
1 Sr 0.059 0.250 0.240
2 Sr 0.198 0.750 0.968
3 Mg 0.059 0.250 0.556
4 Mg 0.187 0.750 0.665
5 Ga 0.024 0.250 0.959
6 Ga 0.111 0.250 0.781
7 Ga 0.131 0.750 0.441
8 Ga 0.221 0.750 0.259

Values from the calculation:
- Energy of formation from the pure elements: -0.38 eV per atom
- Uncorrected energy: -86.83 eV/cell
- Spin magnetization: 0.00 μB per cell

# 2
Crystalline Sr2Mg3Ga at its relaxed geometry, computed with PBE.

Cell lengths 10.793, 6.199, 6.299 Å; angles 90.00, 124.84, 90.00 degrees
Space group C2/m (No. 12)
Asymmetric unit:
1 Sr 0.128 0.000 0.383
2 Mg 0.000 0.500 0.000
3 Mg 0.250 0.250 0.000
4 Ga 0.000 0.500 0.500

Values from the calculation:
- Energy of formation from the pure elements: -0.18 eV per atom
- Uncorrected energy: -24.54 eV/cell
- Spin magnetization: 0.00 μB per cell

# 3
Crystalline Sr2Mg12Ga7 at its relaxed geometry, computed with PBE.

Cell lengths 11.5662, 11.5662, 4.1440 Å; angles 90.00, 90.00, 120.00 degrees
Space group P-3 (No. 147)
Asymmetric unit:
1 Sr 0.3333 0.6667 0.2549
2 Mg 0.0525 0.4344 0.7508
3 Mg 0.1070 0.2586 0.2493
4 Ga 0.0000 0.0000 0.5000
5 Ga 0.1281 0.7110 0.7530

Values from the calculation:
- Energy of formation from the pure elements: -0.21 eV per atom
- Uncorrected energy: -48.15 eV/cell
- Spin magnetization: 0.00 μB per cell

# 4
Crystalline SrMgGa2 at its relaxed geometry, computed with PBE.

Cell lengths 3.603, 3.603, 7.304 Å; angles 90.00, 90.00, 90.00 degrees
Space group P4/mmm (No. 123)
Asymmetric unit:
1 Sr 0.000 0.000 0.000
2 Mg 0.000 0.000 0.500
3 Ga 0.500 0.500 0.303

Values from the calculation:
- Energy of formation from the pure elements: -0.29 eV per atom
- Uncorrected energy: -10.49 eV/cell
- Spin magnetization: 0.00 μB per cell

# 5
Crystalline SrMg3Ga2 at its relaxed geometry, computed with PBE.

Cell lengths 4.601, 8.702, 14.678 Å; angles 90.00, 90.00, 90.00 degrees
Space group Immm (No. 71)
Asymmetric unit:
1 Sr 0.000 0.000 0.136
2 Mg 0.000 0.188 0.339
3 Mg 0.000 0.333 0.000
4 Ga 0.000 0.353 0.500
5 Ga 0.000 0.500 0.188

Values from the calculation:
- Energy of formation from the pure elements: -0.23 eV per atom
- Uncorrected energy: -55.64 eV/cell
- Polymorph energy (0 for the lowest one): 41 meV/atom
- Spin magnetization: 0.00 μB per cell

# 6
Crystalline Sr12MgGa6 at its relaxed geometry, computed with PBE.

Cell lengths 11.394, 11.394, 11.394 Å; angles 90.00, 90.00, 90.00 degrees
Space group Im-3 (No. 204)
Asymmetric unit:
1 Sr 0.000 0.187 0.302
2 Mg 0.000 0.000 0.000
3 Ga 0.000 0.388 0.500

Values from the calculation:
- Energy of formation from the pure elements: -0.21 eV per atom
- Uncorrected energy: -87.78 eV/cell
- Spin magnetization: 2.67 μB per cell

# 7
Crystalline SrMg3Ga2 at its relaxed geometry, computed with PBE.

Cell lengths 16.622, 4.550, 8.609 Å; angles 90.00, 115.32, 90.00 degrees
Space group C2/m (No. 12)
Asymmetric unit:
1 Sr 0.150 0.000 0.070
2 Mg 0.041 0.000 0.364
3 Mg 0.097 0.500 0.696
4 Mg 0.182 0.500 0.449
5 Ga 0.021 0.500 0.157
6 Ga 0.192 0.000 0.693

Values from the calculation:
- Energy of formation from the pure elements: -0.27 eV per atom
- Uncorrected energy: -56.62 eV/cell
- Polymorph energy (0 for the lowest one): 0 meV/atom
- Spin magnetization: 0.00 μB per cell

# 8
Crystalline Sr3Mg2Ga4 at its relaxed geometry, computed with PBE.

Cell lengths 11.926, 4.681, 9.305 Å; angles 90.00, 107.88, 90.00 degrees
Space group C2/m (No. 12)
Asymmetric unit:
1 Sr 0.000 0.000 0.000
2 Sr 0.128 0.500 0.695
3 Mg 0.176 0.500 0.344
4 Ga 0.081 0.000 0.423
5 Ga 0.231 0.500 0.064

Values from the calculation:
- Energy of formation from the pure elements: -0.35 eV per atom
- Uncorrected energy: -47.03 eV/cell
- Spin magnetization: 0.00 μB per cell

# 9
Crystalline Sr2Mg5Ga3 at its relaxed geometry, computed with PBE.

Cell lengths 4.518, 4.518, 12.671 Å; angles 90.00, 90.00, 90.00 degrees
Space group P-4m2 (No. 115)
Asymmetric unit:
1 Sr 0.000 0.500 0.217
2 Mg 0.000 0.000 0.500
3 Mg 0.000 0.500 0.660
4 Mg 0.500 0.500 0.000
5 Mg 0.500 0.500 0.500
6 Ga 0.000 0.000 0.000
7 Ga 0.000 0.500 0.875

Values from the calculation:
- Energy of formation from the pure elements: -0.20 eV per atom
- Uncorrected energy: -22.41 eV/cell
- Polymorph energy (0 for the lowest one): 48 meV/atom
- Spin magnetization: 0.00 μB per cell

# 10
Crystalline Sr2Mg5Ga3 at its relaxed geometry, computed with PBE.

Cell lengths 4.685, 28.002, 7.600 Å; angles 90.00, 90.00, 90.00 degrees
Space group Cmc2_1 (No. 36)
Asymmetric unit:
1 Sr 0.000 0.020 0.000
2 Sr 0.000 0.324 0.953
3 Mg 0.000 0.098 0.642
4 Mg 0.000 0.207 0.150
5 Mg 0.000 0.208 0.761
6 Mg 0.000 0.372 0.475
7 Mg 0.000 0.443 0.830
8 Ga 0.000 0.111 0.261
9 Ga 0.000 0.268 0.454
10 Ga 0.000 0.453 0.212

Values from the calculation:
- Energy of formation from the pure elements: -0.25 eV per atom
- Uncorrected energy: -91.56 eV/cell
- Polymorph energy (0 for the lowest one): 0 meV/atom
- Spin magnetization: 0.00 μB per cell

# 11
Crystalline Sr2Mg3Ga4 at its relaxed geometry, computed with PBE.

Cell lengths 6.290, 17.438, 8.002 Å; angles 90.00, 90.00, 90.00 degrees
Space group Cmce (No. 64)
Asymmetric unit:
1 Sr 0.000 0.101 0.101
2 Mg 0.000 0.000 0.500
3 Mg 0.250 0.233 0.750
4 Ga 0.000 0.165 0.498
5 Ga 0.250 0.070 0.750

Values from the calculation:
- Energy of formation from the pure elements: -0.27 eV per atom
- Uncorrected energy: -90.85 eV/cell
- Spin magnetization: 0.00 μB per cell

# 12
Crystalline SrMg9Ga2 at its relaxed geometry, computed with PBE.

Cell lengths 12.130, 12.130, 7.719 Å; angles 90.00, 90.00, 90.00 degrees
Space group I4_1/amd (No. 141, origin choice 2)
Asymmetric unit:
1 Sr 0.000 0.250 0.375
2 Mg 0.000 0.250 0.875
3 Mg 0.123 0.051 0.684
4 Ga 0.000 0.000 0.000

Values from the calculation:
- Energy of formation from the pure elements: -0.12 eV per atom
- Uncorrected energy: -94.28 eV/cell
- Spin magnetization: 0.00 μB per cell

no.,calculated density (g cm⁻³)
1,4.12
2,3.05
3,3.30
4,4.40
5,3.39
6,3.35
7,3.39
8,3.97
9,3.25
10,3.37
11,3.99
12,2.61